Sn2PPd2 after structural relaxation, computed with PBE-GGA.

a b c (Å): 6.921 6.921 4.090
angles (deg): 90.00 90.00 90.00
Sites, in units of the cell vectors:
Sn 0.162 0.338 0.000
Sn 0.338 0.838 0.000
Sn 0.662 0.162 0.000
Sn 0.838 0.662 0.000
P 0.000 0.000 0.500
P 0.500 0.500 0.500
Pd 0.148 0.648 0.500
Pd 0.352 0.148 0.500
Pd 0.648 0.852 0.500
Pd 0.852 0.352 0.500

Summary:
Calculated volume   196 Å³ per cell
ΔH_f (0 K)   -0.130 eV/atom